## Ac3Rh2O9 (PBE)

Data for a relaxed Ac3Rh2O9 crystal.

The calculation puts the uncorrected formation energy at -2.10 eV/atom. For the energy, the calculation gives -606.530 eV per cell.

It has space group R-3c (No. 167, hexagonal axes), with a = 9.8015 Å, b = 9.8015 Å, c = 13.4875 Å, α = 90.00°, β = 90.00° and γ = 120.00°. The asymmetric unit holds Ac at (0.0000, 0.3416, 0.2500), Rh at (0.0000, 0.0000, 0.1535), O at (0.0000, 0.1661, 0.7500) and O at (0.0015, 0.1768, 0.4141).